A geometry-optimized CaTbAlAu structure, computed with PBE-GGA.

Summary:
Total magnetic moment = 0.000 μB/atom
Crystal system = cubic
Energy of formation from the pure elements = -200 kJ/mol of formula units

Structure (CIF):
```
data_CaTbAlAu
_chemical_formula_sum 'Ca4 Tb4 Al4 Au4'
_space_group_name_H-M_alt 'F -4 3 m'
_space_group_IT_number 216
_space_group_name_Hall 'F -4 2 3'
_cell_length_a 7.294
_cell_length_b 7.294
_cell_length_c 7.294
_cell_angle_alpha 90.00
_cell_angle_beta 90.00
_cell_angle_gamma 90.00
loop_
_atom_site_label
_atom_site_type_symbol
_atom_site_fract_x
_atom_site_fract_y
_atom_site_fract_z
_atom_site_occupancy
Ca1 Ca 0.000 0.000 0.000 1
Tb1 Tb 0.000 0.000 0.500 1
Al1 Al 0.250 0.250 0.750 1
Au1 Au 0.250 0.250 0.250 1
```